Entry 1:
Compound: SmPuSi4
Source: Alexandria
Functional: PBE
Structure: optimized geometry

Values from the calculation:
- density (kg/m3) = 7840
- energy above the lowest structure with this stoichiometry (eV/atom) = 0.184
- crystal system = cubic
- calculated volume (Å³/atom) = 17.9

Unit cell a=5.3341 b=5.3341 c=5.3341 alpha=60.00 beta=60.00 gamma=60.00
With the nearest neighbours (Å) after each atom.
Element x y z (fractional)
Pu 0.0000 0.0000 0.0000  12 Si 3.13, 4 Sm 3.27
Sm 0.2500 0.2500 0.2500  12 Si 3.13, 4 Pu 3.27
Si 0.6260 0.6260 0.1221  6 Si 2.65-2.69
Si 0.1221 0.6260 0.6260  6 Si 2.65-2.69
Si 0.6260 0.1221 0.6260  6 Si 2.65-2.69
Si 0.6260 0.6260 0.6260  6 Si 2.65-2.69

=====

Entry 2:
Compound: SmPu2Zn2Si2
Source: Alexandria
Functional: PBE
Structure: optimized geometry

Values from the calculation:
- density (kg/m3) = 10760
- crystal system = trigonal
- calculated volume (Å³/atom) = 18.2

Unit cell a=4.0190 b=4.0190 c=9.3967 alpha=77.65 beta=77.65 gamma=60.00
With the nearest neighbours (Å) after each atom.
Element x y z (fractional)
Pu 0.1511 0.1511 0.5468  3 Pu 2.47
Pu 0.8489 0.8489 0.4532  3 Pu 2.47
Zn 0.4086 0.4086 0.7742  3 Si 2.32
Zn 0.5914 0.5914 0.2258  3 Si 2.32
Si 0.2566 0.2566 0.2302  3 Zn 2.32
Si 0.7434 0.7434 0.7698  3 Zn 2.32
Sm 0.0000 0.0000 0.0000  6 Zn 3.10, 6 Si 3.13

=====

Entry 3:
Compound: Pu2SiSn
Source: Alexandria
Functional: PBE
Structure: optimized geometry

Values from the calculation:
- density (kg/m3) = 11431
- energy above the lowest structure with this stoichiometry (eV/atom) = 0.026
- crystal system = tetragonal
- calculated volume (Å³/atom) = 23.1

Unit cell a=4.4287 b=4.5631 c=4.5631 alpha=90.00 beta=90.00 gamma=90.00
With the nearest neighbours (Å) after each atom.
Element x y z (fractional)
Pu 0.0000 0.5000 0.0000  4 Sn 3.18, 4 Si 3.18, 4 Pu 3.23
Pu 0.0000 0.0000 0.5000  4 Sn 3.18, 4 Si 3.18, 4 Pu 3.23
Sn 0.5000 0.5000 0.5000  8 Pu 3.18, 4 Si 3.23
Si 0.5000 0.0000 0.0000  8 Pu 3.18, 4 Sn 3.23

=====

Entry 4:
Compound: Pu2SiSn
Source: Alexandria
Functional: PBE
Structure: optimized geometry

Values from the calculation:
- density (kg/m3) = 10707
- energy above the lowest structure with this stoichiometry (eV/atom) = 0.233
- crystal system = trigonal
- calculated volume (Å³/atom) = 24.6

Unit cell a=3.4342 b=3.4342 c=9.8414 alpha=79.95 beta=79.95 gamma=60.00
With the nearest neighbours (Å) after each atom.
Element x y z (fractional)
Pu 0.2608 0.2608 0.2177  3 Si 2.89
Pu 0.7392 0.7392 0.7823  3 Si 2.89
Si 0.0000 0.0000 0.0000  6 Pu 2.89
Sn 0.5000 0.5000 0.5000  6 Pu 3.37, 6 Sn 3.43

=====

Entry 5:
Compound: Pu2SiSn
Source: Alexandria
Functional: PBE
Structure: optimized geometry

Values from the calculation:
- density (kg/m3) = 11445
- energy above the lowest structure with this stoichiometry (eV/atom) = 0.000
- crystal system = tetragonal
- calculated volume (Å³/atom) = 23.0

Unit cell a=3.9203 b=3.9203 c=5.9926 alpha=90.00 beta=90.00 gamma=90.00
With the nearest neighbours (Å) after each atom.
Element x y z (fractional)
Sn 0.5000 0.5000 0.5000  2 Si 3.00, 8 Pu 3.21
Pu 0.0000 0.0000 0.7714  1 Pu 2.74
Pu 0.0000 0.0000 0.2286  1 Pu 2.74
Si 0.5000 0.5000 0.0000  2 Sn 3.00, 8 Pu 3.09

=====

Entry 6:
Compound: Pu4SiSn
Source: Alexandria
Functional: PBE
Structure: optimized geometry

Values from the calculation:
- density (kg/m3) = 13128
- crystal system = orthorhombic
- calculated volume (Å³/atom) = 23.7

Unit cell a=3.2193 b=5.0666 c=8.7076 alpha=90.01 beta=90.00 gamma=90.00
With the nearest neighbours (Å) after each atom.
Element x y z (fractional)
Pu 0.4987 0.4973 0.6763  5 Pu 2.90-3.22, 2 Si 3.23
Pu 0.4984 0.9974 0.8385  3 Pu 2.78-2.90
Pu 0.4986 0.4972 0.3200  5 Pu 2.90-3.22, 2 Si 3.23
Pu 0.4985 0.9972 0.1577  3 Pu 2.78-2.90
Si 0.9986 0.4973 0.9981  2 Si 3.22, 12 Pu 3.23-3.31
Sn 0.9986 0.9973 0.4981  2 Sn 3.22, 12 Pu 3.37-3.38

=====

Sequential raw formation energy output: -344 -270 -309 -101 -334 -80 meV per atom